A plane-wave DFT calculation with PBE was carried out for Mo3Os2Pt2 after structural relaxation.

Geometry as POSCAR:
```
Mo3Os2Pt2
1.0
2.096 -9.384 0.000
2.096 9.384 0.000
0.000 0.000 2.743
Mo Os Pt
3 2 2
Cartesian
0.000 0.000 0.000 Mo
2.096 6.495 0.000 Mo
2.096 -6.495 0.000 Mo
2.096 4.005 1.371 Os
2.096 -4.005 1.371 Os
2.096 1.355 1.371 Pt
2.096 -1.355 1.371 Pt
```



A plane-wave DFT calculation with PBE was carried out for MoOs2Pt after structural relaxation.

Geometry as POSCAR:
```
MoOs2Pt
1.0
-1.948 1.948 3.921
1.948 -1.948 3.921
1.948 1.948 -3.921
Mo Os Pt
1 2 1
Cartesian
0.000 0.000 0.000 Mo
1.948 0.000 1.960 Os
0.000 0.000 3.921 Os
0.000 1.948 1.960 Pt
```



A plane-wave DFT calculation with PBE was carried out for MoOsPt2 after structural relaxation.

Geometry as POSCAR:
```
MoOsPt2
1.0
2.739 0.000 0.000
0.000 3.978 0.000
0.000 0.000 5.592
Mo Os Pt
1 1 2
Cartesian
0.000 0.000 0.000 Mo
1.369 1.989 1.309 Os
0.000 0.000 2.709 Pt
1.369 1.989 4.164 Pt
```



A plane-wave DFT calculation with PBE was carried out for MoOs2Pt after structural relaxation.

Geometry as POSCAR:
```
MoOs2Pt
1.0
2.208 -5.395 0.000
2.208 5.395 0.000
0.000 0.000 5.601
Mo Os Pt
2 4 2
Cartesian
2.208 3.401 4.201 Mo
2.208 -3.401 1.400 Mo
2.208 1.180 0.137 Os
2.208 1.180 2.664 Os
2.208 -1.180 2.937 Os
2.208 -1.180 5.464 Os
2.208 3.778 1.400 Pt
2.208 -3.778 4.201 Pt
```



A plane-wave DFT calculation with PBE was carried out for MoOs2Pt after structural relaxation.

Geometry as POSCAR:
```
MoOs2Pt
1.0
-2.875 2.875 5.421
2.875 -2.875 5.421
2.875 2.875 -5.421
Mo Os Pt
2 4 2
Cartesian
0.000 0.000 0.000 Mo
0.000 2.875 2.711 Mo
4.312 1.433 -1.355 Os
1.433 1.437 1.355 Os
-1.437 1.442 4.066 Os
1.442 1.437 6.777 Os
2.875 0.000 2.711 Pt
0.000 0.000 5.421 Pt
```



A plane-wave DFT calculation with PBE was carried out for MoOsPt2 after structural relaxation.

Geometry as POSCAR:
```
MoOsPt2
1.0
-1.978 1.978 3.884
1.978 -1.978 3.884
1.978 1.978 -3.884
Mo Os Pt
1 1 2
Cartesian
0.000 0.000 0.000 Mo
0.000 1.978 1.942 Os
1.978 0.000 1.942 Pt
0.000 0.000 3.884 Pt
```



A plane-wave DFT calculation with PBE was carried out for MoOsPt2 after structural relaxation.

Geometry as POSCAR:
```
MoOsPt2
1.0
1.382 0.798 9.189
-1.382 0.798 9.189
0.000 -1.595 9.189
Mo Os Pt
1 1 2
Cartesian
0.000 0.000 0.000 Mo
0.000 0.000 13.784 Os
0.000 0.000 6.902 Pt
0.000 0.000 20.666 Pt
```



A plane-wave DFT calculation with PBE was carried out for MoOs2Pt after structural relaxation.

Geometry as POSCAR:
```
MoOs2Pt
1.0
3.921 0.000 0.000
0.000 3.921 0.000
0.000 0.000 3.862
Mo Os Pt
1 2 1
Cartesian
0.000 0.000 0.000 Mo
0.000 1.961 1.931 Os
1.961 0.000 1.931 Os
1.961 1.961 0.000 Pt
```



Computed energy of formation (eV/atom) in order:
-0.08 -0.02 -0.11 0.37 1.29 -0.11 0.01 -0.06
Computed mass density (g/cm³) in order:
16.29 18.74 18.43 16.71 12.44 18.48 18.48 18.78